First-principles (GGA-PBE) data for KMoIN2 after structural relaxation, as listed in Alexandria via LeMat-Bulk.

Computed properties:
Total DFT energy (no corrections) (eV for the cell shown): -28.67
Formation energy from raw total energies (eV/atom): 0.29

Geometry as POSCAR:
```
KMoIN2
1.0
-1.213 -0.749 3.873
0.666 -4.033 -0.572
5.452 0.641 1.832
I K Mo N
1 1 1 2
Cartesian
2.726 0.321 0.916
2.452 -2.071 2.567
0.000 0.000 0.000
-0.607 -0.375 1.937
0.333 -2.017 -0.286
```

=====

First-principles (GGA-PBE) data for KTc2Ru after structural relaxation, as listed in Alexandria via LeMat-Bulk.

Computed properties:
Total DFT energy (no corrections) (eV for the cell shown): -28.11
Formation energy from the elements (kJ/mol of formula units): 289

Geometry as POSCAR:
```
KTc2Ru
1.0
3.741 0.000 0.000
0.000 2.743 0.142
0.000 2.262 8.221
K Tc Ru
1 2 1
Cartesian
0.000 2.386 4.235
0.000 2.425 8.203
1.871 1.240 1.328
1.871 3.718 7.000
```

=====

First-principles (GGA-PBE) data for Na2PmPb9 after structural relaxation, as listed in Alexandria via LeMat-Bulk.

Computed properties:
Total DFT energy (no corrections) (eV for the cell shown): -43.14
Formation energy from the elements (kJ/mol of formula units): -229

Geometry as POSCAR:
```
Na2PmPb9
1.0
4.877 0.000 0.000
0.000 4.877 0.000
0.000 0.000 15.038
Pb Na Pm
9 2 1
Cartesian
0.000 2.438 2.536
2.438 0.000 12.502
2.438 2.438 5.064
0.000 2.438 12.502
2.438 2.438 0.000
0.000 2.438 7.519
2.438 2.438 9.974
2.438 0.000 2.536
2.438 0.000 7.519
0.000 0.000 5.000
0.000 0.000 10.038
0.000 0.000 0.000
```

=====

First-principles (GGA-PBE) data for PrHo12Er7 after structural relaxation, as listed in Alexandria via LeMat-Bulk.

Computed properties:
Total DFT energy (no corrections) (eV for the cell shown): -77.22
Formation energy from the elements (kJ/mol of formula units): 1393

Geometry as POSCAR:
```
PrHo12Er7
1.0
9.177 0.000 -3.244
-4.588 7.947 -3.244
0.000 0.000 9.733
Ho Er Pr
12 7 1
Cartesian
6.812 0.008 0.100
5.627 2.044 6.482
1.044 5.895 3.251
3.399 5.903 -0.100
5.764 5.895 -3.145
-2.224 7.939 3.145
-1.039 5.903 -3.238
3.545 2.052 -0.007
1.189 2.044 3.344
4.593 3.851 3.238
-1.175 2.052 6.389
-0.005 4.096 0.007
-2.294 3.974 3.244
0.000 0.000 4.867
2.294 3.974 1.622
4.588 0.000 -1.622
-2.294 3.974 -1.622
2.294 3.974 -3.244
4.588 0.000 3.244
0.000 0.000 0.000
```

=====

First-principles (GGA-PBE) data for Er3In3CoHg2 after structural relaxation, as listed in Alexandria via LeMat-Bulk.

Computed properties:
Total DFT energy (no corrections) (eV for the cell shown): -33.31
Formation energy from the elements (kJ/mol of formula units): -357

Geometry as POSCAR:
```
Er3In3CoHg2
1.0
4.042 0.000 0.000
0.000 7.658 0.000
0.000 -3.829 6.632
Er In Hg Co
3 3 2 1
Cartesian
0.000 2.973 0.000
0.000 -1.487 2.575
0.000 2.342 4.057
2.021 5.827 0.000
2.021 -2.913 5.046
2.021 0.916 1.586
2.021 3.829 2.211
2.021 0.000 4.421
0.000 0.000 0.000
```

=====

First-principles (GGA-PBE) data for PrNdAu2 after structural relaxation, as listed in Alexandria via LeMat-Bulk.

Computed properties:
Total DFT energy (no corrections) (eV for the cell shown): -19.13
Formation energy from the elements (kJ/mol of formula units): -292

Geometry as POSCAR:
```
PrNdAu2
1.0
-1.049 -1.374 -3.304
-3.009 -1.525 1.589
-3.875 6.230 -1.361
Nd Pr Au
1 1 2
Cartesian
-2.029 -1.449 -0.858
-3.967 1.666 -1.538
-0.948 1.524 -0.333
-2.927 4.706 -1.028
```

=====

First-principles (GGA-PBE) data for PNClF after structural relaxation, as listed in Alexandria via LeMat-Bulk.

Computed properties:
Total DFT energy (no corrections) (eV for the cell shown): -132.50
Formation energy from raw total energies (eV/atom): -1.16

Geometry as POSCAR:
```
PNClF
1.0
8.235 0.019 0.000
-2.079 7.969 0.000
0.000 0.000 8.050
P F Cl N
6 6 6 6
Cartesian
4.140 5.372 5.978
2.016 2.616 1.953
2.281 0.702 3.924
3.875 7.286 7.948
6.058 5.603 7.948
0.098 2.385 3.924
-0.121 3.445 5.060
2.962 3.843 1.706
3.194 4.145 5.731
2.794 7.228 1.035
3.362 0.760 5.060
6.278 4.543 1.035
4.531 5.880 4.085
1.625 2.108 0.061
6.439 1.898 3.556
0.195 6.710 3.556
-0.283 6.090 7.581
5.961 1.278 7.581
0.893 1.159 4.541
0.708 3.158 2.672
2.873 1.489 2.672
3.283 6.499 6.697
5.263 6.829 0.517
5.448 4.830 6.697
```

=====

First-principles (GGA-PBE) data for PuGePt4 after structural relaxation, as listed in Alexandria via LeMat-Bulk.

Computed properties:
Total DFT energy (no corrections) (eV for the cell shown): -46.08
Formation energy from the elements (kJ/mol of formula units): -286

Geometry as POSCAR:
```
PuGePt4
1.0
-2.847 -3.861 -2.439
1.823 -2.220 -4.550
1.789 -5.076 0.011
Pt Ge Pu
4 1 1
Cartesian
1.904 -5.042 -3.141
0.479 -6.975 -4.362
-0.417 -4.434 -4.368
-0.434 -5.864 -2.084
0.000 0.000 0.000
0.191 -2.789 -1.744
```

=====

- Which of these has the highest total DFT energy (no corrections)?
  PrNdAu2